First-principles (SCAN) data for a PBEsol-optimized structure of RbAgO2, as listed in Alexandria via LeMat-Bulk.

The structure in POSCAR format:
```
RbAgO2
1.0
-5.711 -0.219 -0.102
1.722 -5.117 1.878
0.904 3.268 4.692
O Rb Ag
4 2 2
direct
0.848 0.753 0.674
0.152 0.247 0.326
0.753 0.848 0.174
0.247 0.152 0.826
0.647 0.353 0.250
0.353 0.647 0.750
0.000 0.000 0.500
0.000 0.000 0.000
```

total magnetization	0.00	μB per atom
DFT total energy	-67.729	eV/f.u.
uncorrected formation energy	-790	meV/atom

=====

First-principles (SCAN) data for a PBEsol-optimized structure of DyCo5, as listed in Alexandria via LeMat-Bulk.

The structure in POSCAR format:
```
DyCo5
1.0
3.889 0.000 0.000
0.000 4.821 0.000
0.000 -2.410 4.175
Co Dy
5 1
direct
0.000 0.333 0.667
0.000 0.667 0.333
0.500 0.500 0.500
0.500 0.000 0.500
0.500 0.500 0.000
0.000 0.000 0.000
```

total magnetization	1.29	μB per atom
DFT total energy	-134.735	eV/f.u.

=====

First-principles (SCAN) data for a PBEsol-optimized structure of LiMgPb2, as listed in Alexandria via LeMat-Bulk.

The structure in POSCAR format:
```
LiMgPb2
1.0
3.713 0.000 0.000
0.000 4.903 0.000
-1.857 -2.452 5.304
Pb Li Mg
2 1 1
direct
0.998 0.998 0.997
0.764 0.264 0.528
0.497 0.497 0.994
0.240 0.740 0.480
```

total magnetization	0.00	μB per atom
DFT total energy	-159.770	eV/f.u.